A relaxed structure of Dy6BiSb5. Source: Alexandria, functional GGA-PBE.

POSCAR file:
```
Dy6BiSb5
1.0
7.487 -0.116 -1.411
-4.045 6.302 -1.411
0.146 0.263 7.607
Dy Sb Bi
6 5 1
Cartesian
2.852 0.547 1.206
0.737 5.901 3.580
-1.038 2.712 1.206
4.626 3.736 3.580
2.606 4.683 -0.194
0.982 1.765 4.980
-0.203 4.163 -1.411
5.654 1.076 2.393
-2.065 5.372 2.393
3.645 2.022 -1.411
1.794 3.224 2.393
0.000 0.000 0.000
```

Computed properties:
- Volume: 361.0 Å³ per cell
- Space group: C2/m (12)
- E_form (uncorrected): -1086 meV per atom
- Crystal system: monoclinic